VASP calculation (PBE-GGA) on crystalline NdCo2B2 at its relaxed geometry.

Total magnetization ... 0.001 μB per cell
Density ... 7.39 g/cm3
Calculated total energy ... -6.957 eV per atom

```
data_NdCo2B2
_chemical_formula_sum 'Nd2 Co4 B4'
_cell_length_a 3.578
_cell_length_b 3.578
_cell_length_c 9.966
_cell_angle_alpha 90.00
_cell_angle_beta 90.00
_cell_angle_gamma 90.00
_symmetry_space_group_name_H-M 'I 4/m m m'
_symmetry_Int_Tables_number 139
_symmetry_space_group_name_Hall '-I 4 2'
loop_
_atom_site_label
_atom_site_fract_x
_atom_site_fract_y
_atom_site_fract_z
Nd1 0.000 0.000 0.000
Co1 0.000 0.500 0.250
B1 0.000 0.000 0.338
```

VASP calculation (PBE-GGA) on crystalline Nd5Co2B6 at its relaxed geometry.

Total magnetization ... 0.013 μB per cell
Density ... 7.04 g/cm3
Calculated total energy ... -6.429 eV per atom

```
data_Nd5Co2B6
_chemical_formula_sum 'Nd15 Co6 B18'
_cell_length_a 5.4760
_cell_length_b 5.4760
_cell_length_c 24.6375
_cell_angle_alpha 90.00
_cell_angle_beta 90.00
_cell_angle_gamma 120.00
_symmetry_space_group_name_H-M 'R -3 m'
_symmetry_Int_Tables_number 166
_symmetry_space_group_name_Hall '-R 3 2"'
loop_
_atom_site_label
_atom_site_fract_x
_atom_site_fract_y
_atom_site_fract_z
Nd1 0.0000 0.0000 0.0000
Nd2 0.0000 0.0000 0.2509
Nd3 0.0000 0.0000 0.4167
Co1 0.0000 0.0000 0.1232
B1 0.0000 0.3324 0.5000
```

VASP calculation (PBE-GGA) on crystalline Nd5Co21B4 at its relaxed geometry.

Total magnetization ... 21.670 μB per cell
Density ... 8.48 g/cm3
Calculated total energy ... -6.836 eV per atom

```
data_Nd5Co21B4
_chemical_formula_sum 'Nd5 Co21 B4'
_cell_length_a 5.0684
_cell_length_b 5.0684
_cell_length_c 17.6325
_cell_angle_alpha 90.00
_cell_angle_beta 90.00
_cell_angle_gamma 120.00
_symmetry_space_group_name_H-M 'P 6/m m m'
_symmetry_Int_Tables_number 191
_symmetry_space_group_name_Hall '-P 6 2'
loop_
_atom_site_label
_atom_site_fract_x
_atom_site_fract_y
_atom_site_fract_z
Nd1 0.0000 0.0000 0.0000
Nd2 0.0000 0.0000 0.1936
Nd3 0.0000 0.0000 0.3919
Co1 0.0000 0.5000 0.1119
Co2 0.0000 0.5000 0.2775
Co3 0.0000 0.5000 0.5000
Co4 0.3333 0.6667 0.0000
Co5 0.3333 0.6667 0.3890
B1 0.3333 0.6667 0.1935
```

VASP calculation (PBE-GGA) on crystalline NdCo2B2 at its relaxed geometry.

Total magnetization ... 0.001 μB per cell
Density ... 7.41 g/cm3
Calculated total energy ... -6.957 eV per atom

```
data_NdCo2B2
_chemical_formula_sum 'Nd2 Co4 B4'
_cell_length_a 3.576
_cell_length_b 3.576
_cell_length_c 9.941
_cell_angle_alpha 90.00
_cell_angle_beta 90.00
_cell_angle_gamma 90.00
_symmetry_space_group_name_H-M 'I 4/m m m'
_symmetry_Int_Tables_number 139
_symmetry_space_group_name_Hall '-I 4 2'
loop_
_atom_site_label
_atom_site_fract_x
_atom_site_fract_y
_atom_site_fract_z
Nd1 0.000 0.000 0.000
Co1 0.000 0.500 0.250
B1 0.000 0.000 0.338
```

VASP calculation (PBE-GGA) on crystalline NdCo12B6 at its relaxed geometry.

Total magnetization ... 20.305 μB per cell
Density ... 8.00 g/cm3
Calculated total energy ... -7.191 eV per atom

```
data_NdCo12B6
_chemical_formula_sum 'Nd3 Co36 B18'
_cell_length_a 9.4161
_cell_length_b 9.4161
_cell_length_c 7.4335
_cell_angle_alpha 90.00
_cell_angle_beta 90.00
_cell_angle_gamma 120.00
_symmetry_space_group_name_H-M 'R -3 m'
_symmetry_Int_Tables_number 166
_symmetry_space_group_name_Hall '-R 3 2"'
loop_
_atom_site_label
_atom_site_fract_x
_atom_site_fract_y
_atom_site_fract_z
Nd1 0.0000 0.0000 0.0000
Co1 0.0000 0.3665 0.5000
Co2 0.0904 0.1809 0.3683
B1 0.0398 0.5199 0.2893
```